DFT (PBE+U) results for an optimized crystal structure of ZnCo2O5.

For the total magnetic moment, the calculation gives 0.750 μB per atom. The value obtained for the excess energy over the best structure of this formula in the dataset is 21 meV/atom. For the total energy, the calculation gives -84.0 eV per cell.

Unit cell a=5.343 b=5.343 c=11.208 alpha=90.00 beta=90.00 gamma=140.61
Element x y z (fractional)
Zn (0.096, 0.904, 0.750)
Zn (0.904, 0.096, 0.250)
Co (0.207, 0.793, 0.097)
Co (0.207, 0.793, 0.403)
Co (0.793, 0.207, 0.597)
Co (0.793, 0.207, 0.903)
O (0.043, 0.957, 0.125)
O (0.043, 0.957, 0.375)
O (0.243, 0.757, 0.575)
O (0.243, 0.757, 0.925)
O (0.310, 0.690, 0.250)
O (0.690, 0.310, 0.750)
O (0.757, 0.243, 0.075)
O (0.757, 0.243, 0.425)
O (0.957, 0.043, 0.625)
O (0.957, 0.043, 0.875)